No. 1
Computed, not measured: a relaxed structure of Sc2Zn2Ni5Ge at the PBE-GGA level of DFT.

Lattice parameters (Å, degrees): 8.999 8.999 3.466 90.00 90.00 90.00
Space group P4/mbm (No. 127)
Symmetry-distinct sites (fractional):
Sc (0.175, 0.325, 0.000) x4
Zn (0.123, 0.623, 0.000) x4
Ni (0.000, 0.500, 0.500) x2
Ni (0.061, 0.801, 0.500) x8
Ge (0.000, 0.000, 0.000) x2

Results
calculated formation energy	-320	meV per atom
calculated total energy	-5.194	eV per atom
size of the total moment	0.00	μB per atom


No. 2
Computed, not measured: a relaxed structure of ScZnNi5Ge2 at the PBE-GGA level of DFT.

Lattice parameters (Å, degrees): 3.838 3.838 8.587 90.00 90.00 90.00
Space group P4/mmm (No. 123)
Symmetry-distinct sites (fractional):
Sc (0.000, 0.000, 0.000) x1
Zn (0.000, 0.000, 0.500) x1
Ni (0.000, 0.500, 0.211) x4
Ni (0.500, 0.500, 0.000) x1
Ge (0.500, 0.500, 0.361) x2

Results
calculated formation energy	-181	meV per atom
calculated total energy	-5.264	eV per atom
size of the total moment	0.00	μB per atom


No. 3
Computed, not measured: a relaxed structure of Sc2ZnNi5Ge2 at the PBE-GGA level of DFT.

Lattice parameters (Å, degrees): 9.232 9.232 3.371 90.00 90.00 90.00
Space group P4/mbm (No. 127)
Symmetry-distinct sites (fractional):
Sc (0.172, 0.328, 0.000) x4
Zn (0.000, 0.000, 0.000) x2
Ni (0.000, 0.500, 0.500) x2
Ni (0.052, 0.796, 0.500) x8
Ge (0.128, 0.628, 0.000) x4

Results
calculated formation energy	-387	meV per atom
calculated total energy	-5.595	eV per atom
size of the total moment	0.00	μB per atom


No. 4
Computed, not measured: a relaxed structure of NiGe2Se at the PBE-GGA level of DFT.

Lattice parameters (Å, degrees): 5.762 5.762 10.799 90.00 90.00 90.00
Space group I-42d (No. 122)
Symmetry-distinct sites (fractional):
Ni (0.000, 0.000, 0.000) x4
Ge (0.198, 0.250, 0.125) x8
Se (0.000, 0.000, 0.500) x4

Results
formation energy (no corrections)	0.02	eV per atom
calculated total energy	-4.601	eV per atom
size of the total moment	0.00	μB per atom


No. 5
Computed, not measured: a relaxed structure of NiGeSe3 at the PBE-GGA level of DFT.

Lattice parameters (Å, degrees): 3.795 18.846 6.277 90.00 90.00 90.00
Space group Cmc2_1 (No. 36)
Symmetry-distinct sites (fractional):
Ni (0.000, 0.143, 0.000) x4
Ge (0.000, 0.342, 0.018) x4
Se (0.000, 0.089, 0.333) x4
Se (0.000, 0.232, 0.743) x4
Se (0.000, 0.411, 0.369) x4

Results
formation energy (no corrections)	-0.15	eV per atom
calculated total energy	-4.317	eV per atom
size of the total moment	0.00	μB per atom


No. 6
Computed, not measured: a relaxed structure of Ni2GeSe3 at the PBE-GGA level of DFT.

Lattice parameters (Å, degrees): 7.1244 7.1244 4.9305 90.00 90.00 120.00
Space group P-3m1 (No. 164)
Symmetry-distinct sites (fractional):
Ni (0.0000, 0.0000, 0.0000) x1
Ni (0.0000, 0.5000, 0.0000) x3
Ge (0.3333, 0.6667, 0.3013) x2
Se (0.1728, 0.3456, 0.7531) x6

Results
formation energy (no corrections)	-0.23	eV per atom
calculated total energy	-4.672	eV per atom
size of the total moment	0.00	μB per atom


No. 7
Computed, not measured: a relaxed structure of NiGeSe4 at the PBE-GGA level of DFT.

Lattice parameters (Å, degrees): 8.486 8.486 7.365 90.00 90.00 90.00
Space group I4_1md (No. 109)
Symmetry-distinct sites (fractional):
Ni (0.000, 0.000, 0.000) x4
Ge (0.000, 0.000, 0.501) x4
Se (0.000, 0.310, 0.012) x8
Se (0.000, 0.314, 0.486) x8

Results
formation energy (no corrections)	0.00	eV per atom
calculated total energy	-4.057	eV per atom
size of the total moment	0.00	μB per atom


No. 8
Computed, not measured: a relaxed structure of NiGe2Se6 at the PBE-GGA level of DFT.

Lattice parameters (Å, degrees): 11.914 10.959 6.507 90.00 99.95 90.00
Space group C2/c (No. 15)
Symmetry-distinct sites (fractional):
Ni (0.000, 0.097, 0.250) x4
Ge (0.190, 0.416, 0.334) x8
Se (0.099, 0.077, 0.609) x8
Se (0.113, 0.399, 0.653) x8
Se (0.128, 0.239, 0.126) x8

Results
formation energy (no corrections)	-0.12	eV per atom
calculated total energy	-4.107	eV per atom
size of the total moment	0.00	μB per atom


No. 9
Computed, not measured: a relaxed structure of NiGeSe2 at the PBE-GGA level of DFT.

Lattice parameters (Å, degrees): 2.8385 2.8385 35.0606 90.00 90.00 120.00
Space group R-3m (No. 166, hexagonal axes)
Symmetry-distinct sites (fractional):
Ni (0.0000, 0.0000, 0.0000) x3
Ge (0.0000, 0.0000, 0.5000) x3
Se (0.0000, 0.0000, 0.0649) x6

Results
formation energy (no corrections)	0.36	eV per atom
calculated total energy	-3.983	eV per atom
size of the total moment	0.00	μB per atom


No. 10
Computed, not measured: a relaxed structure of NiGeSe2 at the PBE-GGA level of DFT.

Lattice parameters (Å, degrees): 3.4883 3.4883 24.1178 90.00 90.00 120.00
Space group R-3m (No. 166, hexagonal axes)
Symmetry-distinct sites (fractional):
Ni (0.0000, 0.0000, 0.0000) x3
Ge (0.0000, 0.0000, 0.5000) x3
Se (0.0000, 0.0000, 0.3867) x6

Results
formation energy (no corrections)	-0.03	eV per atom
calculated total energy	-4.373	eV per atom
size of the total moment	0.00	μB per atom


No. 11
Computed, not measured: a relaxed structure of Ni11Ge2Se4 at the PBE-GGA level of DFT.

Lattice parameters (Å, degrees): 3.629 3.629 18.405 90.00 90.00 90.00
Space group P4mm (No. 99)
Symmetry-distinct sites (fractional):
Ni (0.000, 0.000, 0.000) x1
Ni (0.000, 0.000, 0.300) x1
Ni (0.000, 0.500, 0.095) x2
Ni (0.000, 0.500, 0.406) x2
Ni (0.000, 0.500, 0.597) x2
Ni (0.000, 0.500, 0.905) x2
Ni (0.500, 0.500, 0.501) x1
Ge (0.000, 0.000, 0.500) x1
Ge (0.500, 0.500, 0.000) x1
Se (0.000, 0.000, 0.176) x1
Se (0.000, 0.000, 0.825) x1
Se (0.500, 0.500, 0.317) x1
Se (0.500, 0.500, 0.677) x1

Results
formation energy (no corrections)	-0.28	eV per atom
calculated total energy	-5.388	eV per atom
size of the total moment	0.00	μB per atom


No. 12
Computed, not measured: a relaxed structure of NiGeSe2 at the PBE-GGA level of DFT.

Lattice parameters (Å, degrees): 3.6418 3.6418 19.5745 90.00 90.00 120.00
Space group R3m (No. 160, hexagonal axes)
Symmetry-distinct sites (fractional):
Ni (0.0000, 0.0000, 0.0000) x3
Ge (0.0000, 0.0000, 0.8367) x3
Se (0.0000, 0.0000, 0.3980) x3
Se (0.0000, 0.0000, 0.5968) x3

Results
formation energy (no corrections)	-0.10	eV per atom
calculated total energy	-4.441	eV per atom
size of the total moment	0.00	μB per atom


No. 13
Computed, not measured: a relaxed structure of Ni3GeSe5 at the PBE-GGA level of DFT.

Lattice parameters (Å, degrees): 5.900 3.695 14.735 90.00 90.88 90.00
Space group P2/m (No. 10)
Symmetry-distinct sites (fractional):
Ni (0.000, 0.000, 0.000) x1
Ni (0.002, 0.000, 0.334) x2
Ni (0.496, 0.500, 0.834) x2
Ni (0.500, 0.500, 0.500) x1
Ge (0.132, 0.500, 0.237) x2
Se (0.124, 0.500, 0.903) x2
Se (0.126, 0.500, 0.570) x2
Se (0.364, 0.000, 0.738) x2
Se (0.368, 0.000, 0.074) x2
Se (0.370, 0.000, 0.401) x2

Results
formation energy (no corrections)	-0.26	eV per atom
calculated total energy	-4.635	eV per atom
size of the total moment	0.00	μB per atom


No. 14
Computed, not measured: a relaxed structure of NiGeSe3 at the PBE-GGA level of DFT.

Lattice parameters (Å, degrees): 4.723 4.723 4.723 90.00 90.00 90.00
Space group Pm-3m (No. 221)
Symmetry-distinct sites (fractional):
Ni (0.000, 0.000, 0.000) x1
Ge (0.500, 0.500, 0.500) x1
Se (0.000, 0.000, 0.500) x3

Results
formation energy (no corrections)	0.27	eV per atom
calculated total energy	-3.896	eV per atom
size of the total moment	0.00	μB per atom


No. 15
Computed, not measured: a relaxed structure of NiGeSe2 at the PBE-GGA level of DFT.

Lattice parameters (Å, degrees): 5.648 5.648 11.355 90.00 90.00 90.00
Space group I-42d (No. 122)
Symmetry-distinct sites (fractional):
Ni (0.000, 0.000, 0.000) x4
Ge (0.000, 0.000, 0.500) x4
Se (0.211, 0.250, 0.125) x8

Results
formation energy (no corrections)	-0.12	eV per atom
calculated total energy	-4.465	eV per atom
size of the total moment	0.00	μB per atom


No. 16
Computed, not measured: a relaxed structure of SiNi12Ge3 at the PBE-GGA level of DFT.

Lattice parameters (Å, degrees): 3.559 3.559 14.233 90.00 90.00 90.00
Space group P4/mmm (No. 123)
Symmetry-distinct sites (fractional):
Si (0.000, 0.000, 0.000) x1
Ni (0.000, 0.500, 0.120) x4
Ni (0.000, 0.500, 0.374) x4
Ni (0.500, 0.500, 0.000) x1
Ni (0.500, 0.500, 0.247) x2
Ni (0.500, 0.500, 0.500) x1
Ge (0.000, 0.000, 0.248) x2
Ge (0.000, 0.000, 0.500) x1

Results
formation energy (no corrections)	-0.33	eV per atom
calculated total energy	-5.871	eV per atom
size of the total moment	0.00	μB per atom


No. 17
Computed, not measured: a relaxed structure of SiNi4Ge2 at the PBE-GGA level of DFT.

Lattice parameters (Å, degrees): 4.195 4.195 12.094 90.00 90.00 90.00
Space group I4/mmm (No. 139)
Symmetry-distinct sites (fractional):
Si (0.000, 0.000, 0.000) x2
Ni (0.000, 0.000, 0.180) x4
Ni (0.000, 0.500, 0.000) x4
Ge (0.000, 0.000, 0.371) x4

Results
formation energy (no corrections)	0.24	eV per atom
calculated total energy	-5.157	eV per atom
size of the total moment	0.00	μB per atom


No. 18
Computed, not measured: a relaxed structure of SiNi6Ge at the PBE-GGA level of DFT.

Lattice parameters (Å, degrees): 6.711 4.840 6.474 90.00 108.31 90.00
Space group C2/m (No. 12)
Symmetry-distinct sites (fractional):
Si (0.000, 0.000, 0.000) x2
Ni (0.140, 0.000, 0.429) x4
Ni (0.197, 0.240, 0.806) x8
Ge (0.000, 0.500, 0.500) x2

Results
formation energy (no corrections)	-0.13	eV per atom
energy relative to the lowest polymorph listed for this composition	0.246	eV per atom
calculated total energy	-5.718	eV per atom
size of the total moment	0.00	μB per atom


No. 19
Computed, not measured: a relaxed structure of SiNiGe at the PBE-GGA level of DFT.

Lattice parameters (Å, degrees): 5.604 5.604 5.604 90.00 90.00 90.00
Space group F-43m (No. 216)
Symmetry-distinct sites (fractional):
Si (0.000, 0.000, 0.000) x4
Ni (0.250, 0.250, 0.250) x4
Ge (0.000, 0.000, 0.500) x4

Results
formation energy (no corrections)	-0.22	eV per atom
energy relative to the lowest polymorph listed for this composition	0.000	eV per atom
calculated total energy	-5.493	eV per atom
size of the total moment	0.00	μB per atom


No. 20
Computed, not measured: a relaxed structure of Si2Ni8Ge at the PBE-GGA level of DFT.

Lattice parameters (Å, degrees): 12.794 3.703 5.670 90.00 111.54 90.00
Space group C2/m (No. 12)
Symmetry-distinct sites (fractional):
Si (0.195, 0.000, 0.173) x4
Ni (0.031, 0.000, 0.248) x4
Ni (0.099, 0.500, 0.961) x4
Ni (0.174, 0.500, 0.432) x4
Ni (0.176, 0.000, 0.752) x4
Ge (0.000, 0.500, 0.500) x2

Results
formation energy (no corrections)	-0.38	eV per atom
energy relative to the lowest polymorph listed for this composition	0.009	eV per atom
calculated total energy	-5.988	eV per atom
size of the total moment	0.00	μB per atom


No. 21
Computed, not measured: a relaxed structure of SiNiGe3 at the PBE-GGA level of DFT.

Lattice parameters (Å, degrees): 4.578 4.578 4.578 90.00 90.00 90.00
Space group Pm-3m (No. 221)
Symmetry-distinct sites (fractional):
Si (0.000, 0.000, 0.000) x1
Ni (0.500, 0.500, 0.500) x1
Ge (0.000, 0.500, 0.500) x3

Results
formation energy (no corrections)	0.44	eV per atom
energy relative to the lowest polymorph listed for this composition	0.000	eV per atom
calculated total energy	-4.573	eV per atom
size of the total moment	0.00	μB per atom


No. 22
Computed, not measured: a relaxed structure of SiNi6Ge at the PBE-GGA level of DFT.

Lattice parameters (Å, degrees): 3.542 3.542 7.082 90.00 90.00 90.00
Space group P4/mmm (No. 123)
Symmetry-distinct sites (fractional):
Si (0.000, 0.000, 0.000) x1
Ni (0.000, 0.500, 0.243) x4
Ni (0.500, 0.500, 0.000) x1
Ni (0.500, 0.500, 0.500) x1
Ge (0.000, 0.000, 0.500) x1

Results
formation energy (no corrections)	-0.37	eV per atom
energy relative to the lowest polymorph listed for this composition	0.000	eV per atom
calculated total energy	-5.964	eV per atom
size of the total moment	0.00	μB per atom